No. 1
Below is MgCdTc3 after structural relaxation, with properties calculated at the PBE-GGA level.

Calculated values
Its relative energy among the computed polymorphs is 0.000 eV per atom. The final energy is -4.84 eV per atom. The value obtained for the calculated density is 7379 kg/m3.

Unit cell a=4.5936 b=4.5936 c=4.5936 alpha=90.00 beta=90.00 gamma=90.00
With the nearest neighbours (Å) after each atom.
Space group Pm-3m (No. 221)
Symmetry-distinct sites (fractional):
Mg1 0.0000 0.0000 0.0000 [1 per cell]  6 Tc 2.30
Cd1 0.5000 0.5000 0.5000 [1 per cell]  12 Tc 3.25
Tc1 0.0000 0.0000 0.5000 [3 per cell]  2 Mg 2.30

---

No. 2
Below is MgCdTc2 after structural relaxation, with properties calculated at the PBE-GGA level.

Calculated values
Its relative energy among the computed polymorphs is 0.360 eV per atom. The final energy is -5.42 eV per atom. The value obtained for the calculated density is 8356 kg/m3.

Unit cell a=3.8053 b=3.8053 c=9.1319 alpha=90.00 beta=90.00 gamma=90.00
With the nearest neighbours (Å) after each atom.
Space group I4/mmm (No. 139)
Symmetry-distinct sites (fractional):
Mg1 0.0000 0.0000 0.0000 [2 per cell]  4 Cd 2.69, 8 Tc 2.97
Cd1 0.0000 0.0000 0.5000 [2 per cell]  4 Mg 2.69, 8 Tc 2.97
Tc1 0.0000 0.5000 0.2500 [4 per cell]  4 Tc 2.69, 4 Cd 2.97, 4 Mg 2.97

---

No. 3
Below is MgCdTc2 after structural relaxation, with properties calculated at the PBE-GGA level.

Calculated values
Its relative energy among the computed polymorphs is 0.397 eV per atom. The final energy is -5.39 eV per atom. The value obtained for the calculated density is 8312 kg/m3.

Unit cell a=2.8331 b=2.8331 c=28.6881 alpha=90.00 beta=90.00 gamma=120.00
With the nearest neighbours (Å) after each atom.
Space group R-3m (No. 166, hexagonal axes)
Symmetry-distinct sites (fractional):
Mg1 0.0000 0.0000 0.0000 [3 per cell]  6 Mg 2.83, 6 Tc 2.85
Cd1 0.0000 0.0000 0.5000 [3 per cell]  6 Cd 2.83, 6 Tc 2.94
Tc1 0.0000 0.0000 0.2519 [6 per cell]  6 Tc 2.83, 3 Mg 2.85, 3 Cd 2.94

---

No. 4
Below is MgCd3Tc after structural relaxation, with properties calculated at the PBE-GGA level.

Calculated values
Its relative energy among the computed polymorphs is 0.000 eV per atom. The final energy is -2.15 eV per atom. The value obtained for the calculated density is 5288 kg/m3.

Unit cell a=5.2453 b=5.2453 c=5.2453 alpha=90.00 beta=90.00 gamma=90.00
With the nearest neighbours (Å) after each atom.
Space group Pm-3m (No. 221)
Symmetry-distinct sites (fractional):
Mg1 0.0000 0.0000 0.0000 [1 per cell]  12 Cd 3.71
Cd1 0.0000 0.5000 0.5000 [3 per cell]  2 Tc 2.62
Tc1 0.5000 0.5000 0.5000 [1 per cell]  6 Cd 2.62

---

No. 5
Below is MgCdTc2 after structural relaxation, with properties calculated at the PBE-GGA level.

Calculated values
Its relative energy among the computed polymorphs is 0.391 eV per atom. The final energy is -5.39 eV per atom. The value obtained for the calculated density is 8330 kg/m3.

Unit cell a=5.3638 b=9.1106 c=2.7143 alpha=90.00 beta=90.00 gamma=90.00
With the nearest neighbours (Å) after each atom.
Space group Cmmm (No. 65)
Symmetry-distinct sites (fractional):
Mg1 0.0000 0.0000 0.0000 [2 per cell]  2 Cd 2.68, 2 Mg 2.71, 8 Tc 2.97
Cd1 0.0000 0.5000 0.0000 [2 per cell]  2 Mg 2.68, 2 Cd 2.71, 8 Tc 2.97
Tc1 0.2500 0.2500 0.5000 [4 per cell]  4 Tc 2.68-2.71, 4 Cd 2.97, 4 Mg 2.97

---

No. 6
Below is MgCdTc2 after structural relaxation, with properties calculated at the PBE-GGA level.

Calculated values
Its relative energy among the computed polymorphs is 0.904 eV per atom. The final energy is -4.88 eV per atom. The value obtained for the calculated density is 7741 kg/m3.

Unit cell a=7.4075 b=7.4075 c=5.2026 alpha=90.00 beta=90.00 gamma=90.00
With the nearest neighbours (Å) after each atom.
Space group I-42d (No. 122)
Symmetry-distinct sites (fractional):
Mg1 0.0000 0.0000 0.0000 [4 per cell]  2 Cd 2.60, 4 Tc 2.63
Cd1 0.0000 0.0000 0.5000 [4 per cell]  2 Mg 2.60, 4 Tc 2.77
Tc1 0.2364 0.2500 0.1250 [8 per cell]  2 Tc 2.61, 2 Mg 2.63, 2 Cd 2.77

---

No. 7
Below is MgCdTc2 after structural relaxation, with properties calculated at the PBE-GGA level.

Calculated values
Its relative energy among the computed polymorphs is 0.303 eV per atom. The final energy is -5.48 eV per atom. The value obtained for the calculated density is 8413 kg/m3.

Unit cell a=3.2649 b=4.3000 c=4.6778 alpha=90.00 beta=90.00 gamma=90.00
With the nearest neighbours (Å) after each atom.
Space group Pmmm (No. 47)
Symmetry-distinct sites (fractional):
Mg1 0.0000 0.0000 0.0000 [1 per cell]  4 Cd 2.70, 4 Tc 2.85
Cd1 0.5000 0.5000 0.0000 [1 per cell]  4 Mg 2.70, 4 Tc 2.85
Tc1 0.0000 0.5000 0.5000 [1 per cell]  4 Tc 2.70, 4 Cd 2.85
Tc2 0.5000 0.0000 0.5000 [1 per cell]  4 Tc 2.70, 4 Mg 2.85

---

No. 8
Below is Mg3CdTc after structural relaxation, with properties calculated at the PBE-GGA level.

Calculated values
Its relative energy among the computed polymorphs is 0.000 eV per atom. The final energy is -2.49 eV per atom. The value obtained for the calculated density is 3715 kg/m3.

Unit cell a=5.0218 b=5.0218 c=5.0218 alpha=90.00 beta=90.00 gamma=90.00
With the nearest neighbours (Å) after each atom.
Space group Pm-3m (No. 221)
Symmetry-distinct sites (fractional):
Mg1 0.0000 0.0000 0.5000 [3 per cell]  2 Tc 2.51
Cd1 0.5000 0.5000 0.5000 [1 per cell]  12 Mg 3.55
Tc1 0.0000 0.0000 0.0000 [1 per cell]  6 Mg 2.51

---

| no. | DFT formation energy (eV per formula unit) |
| --- | --- |
| 1 | 9.43 |
| 2 | 1.55 |
| 3 | 1.70 |
| 4 | 3.96 |
| 5 | 1.67 |
| 6 | 3.72 |
| 7 | 1.32 |
| 8 | 3.60 |